Density functional theory data (GGA-PBEsol) for In3AgH after structural relaxation.

a = 4.5681 Å, b = 4.5681 Å, c = 4.5681 Å
α = 90.00°, β = 90.00°, γ = 90.00°
Last column: nearest neighbours and their distance in Å.
Sites, in units of the cell vectors:
In 0.0000 0.0000 0.5000  2 H 2.28
In 0.0000 0.5000 0.0000  2 H 2.28
In 0.5000 0.0000 0.0000  2 H 2.28
Ag 0.5000 0.5000 0.5000  12 In 3.23
H 0.0000 0.0000 0.0000  6 In 2.28

Values from the calculation:
As for the symmetry: No. 221. The calculation puts the density of states at the Fermi level at 0.35 states/eV per atom. As for the uncorrected energy: -14.3 eV/cell.